Computed, not measured: crystalline TaMoPO2 at its relaxed geometry at the PBE+U level of DFT.

Values from the calculation:
E_tot (eV per atom): -7.1340
Fermi-level density of states (states/eV/cell): 3.876

Cell lengths 3.788, 3.788, 5.913 Å; angles 90.00, 90.00, 90.00 degrees
Fractional positions:
1 Mo 0.000 0.000 0.000
2 O 0.500 0.000 0.000
3 O 0.000 0.500 0.000
4 Ta 0.500 0.500 0.500
5 P 0.000 0.000 0.500